Entry 1:
# Cu3Te5Se12

An optimized crystal structure of Cu3Te5Se12 (PBE, Alexandria).

Output
- V (Å³/cell) = 4912.2
- E (eV/atom) = -3.315
- E_form (uncorrected) (meV per atom) = 175.4
- theoretical density (Mg/m³) = 4.8

Lattice parameters (Å, degrees): 16.9991 16.9991 16.9991 90.00 90.00 90.00
Space group Ia-3d (No. 230)
Asymmetric unit:
Cu  0.0000  0.2500  0.1250 x24
Te  0.0000  0.0000  0.0000 x16
Te  0.0000  0.2500  0.3750 x24
Se  0.0125  0.0220  0.1641 x96

=====

Entry 2:
# Rb2YHI6

An optimized crystal structure of Rb2YHI6 (PBE, Alexandria).

Output
- energy relative to the lowest polymorph listed for this composition (eV/f.u.) = 0.00
- V (Å³/cell) = 456.9
- E (eV/atom) = -3.228
- theoretical density (Mg/m³) = 3.7

Lattice parameters (Å, degrees): 7.6399 8.6394 8.7600 115.76 101.59 107.77
Space group P-1 (No. 2)
Asymmetric unit:
Rb  0.1597  0.2291  0.4127 x2
Y  0.0000  0.5000  0.0000 x1
H  0.5000  0.0000  0.0000 x1
I  0.2233  0.2800  0.8551 x2
I  0.2506  0.8835  0.0152 x2
I  0.2665  0.6639  0.3937 x2

=====

Entry 3:
# Sc2ZnTe

An optimized crystal structure of Sc2ZnTe (PBE, Alexandria).

Output
- energy relative to the lowest polymorph listed for this composition (eV/f.u.) = 0.51
- V (Å³/cell) = 85.3
- E (eV/atom) = -4.766
- E_form (uncorrected) (meV per atom) = -495.9
- theoretical density (Mg/m³) = 5.5

Lattice parameters (Å, degrees): 4.7740 4.7740 3.7424 90.00 90.00 90.00
Space group P4/mmm (No. 123)
Asymmetric unit:
Sc  0.0000  0.5000  0.0000 x2
Zn  0.0000  0.0000  0.5000 x1
Te  0.5000  0.5000  0.5000 x1

=====

Look up the theoretical density of the third one. 5.5 Mg/m³

=====

Which value of theoretical density does entry 1 give? 4.8 Mg/m³

=====

Repeat the third record exactly.
# Sc2ZnTe

An optimized crystal structure of Sc2ZnTe (PBE, Alexandria).

Output
- energy relative to the lowest polymorph listed for this composition (eV/f.u.) = 0.51
- V (Å³/cell) = 85.3
- E (eV/atom) = -4.766
- E_form (uncorrected) (meV per atom) = -495.9
- theoretical density (Mg/m³) = 5.5

Lattice parameters (Å, degrees): 4.7740 4.7740 3.7424 90.00 90.00 90.00
Space group P4/mmm (No. 123)
Asymmetric unit:
Sc  0.0000  0.5000  0.0000 x2
Zn  0.0000  0.0000  0.5000 x1
Te  0.5000  0.5000  0.5000 x1

=====

Number 1 is which compound? Cu3Te5Se12